The following is a DFT calculation (PBE) of a relaxed structure of CdPd2F.

a b c (Å): 4.481 4.481 4.481
angles (deg): 60.00 60.00 60.00
Element x y z (fractional)
Pd (0.750, 0.750, 0.750)
Pd (0.250, 0.250, 0.250)
F (0.000, 0.000, 0.000)
Cd (0.500, 0.500, 0.500)

Properties
Symmetry   Fm-3m
E_form (uncorrected)   -0.303 eV/atom
Electronic total energy   -0.2643 Ry/atom
D(E_F)   3.22 states/eV/cell
Total moment   0.0 μB/cell
ΔE to the lowest computed polymorph   31.8 kJ/mol of formula units

The following is a DFT calculation (PBE) of a relaxed structure of DyTh6.

a b c (Å): 6.638 6.638 10.877
angles (deg): 90.00 90.00 90.00
Element x y z (fractional)
Th (0.322, 0.178, 0.643)
Th (0.822, 0.322, 0.643)
Th (0.500, 0.500, 0.854)
Th (0.822, 0.678, 0.357)
Th (0.678, 0.178, 0.357)
Th (0.178, 0.322, 0.357)
Dy (0.000, 0.500, 0.000)
Th (0.322, 0.822, 0.357)
Dy (0.500, 0.000, 0.000)
Th (0.000, 0.000, 0.146)
Th (0.178, 0.678, 0.643)
Th (0.678, 0.822, 0.643)
Th (0.000, 0.000, 0.854)
Th (0.500, 0.500, 0.146)

Properties
Symmetry   P4/nbm
Electronic total energy   -0.4861 Ry/atom
D(E_F)   23.12 states/eV/cell
Total moment   0.0 μB/cell

The following is a DFT calculation (PBE) of a relaxed structure of Tl2Ge2S5.

a b c (Å): 5.242 6.730 7.346
angles (deg): 99.25 90.00 112.92
Element x y z (fractional)
Tl (0.407, 0.813, 0.668)
S (0.678, 0.356, 0.928)
Ge (0.839, 0.678, 0.119)
S (0.000, 0.000, 0.000)
Ge (0.161, 0.322, 0.881)
S (0.848, 0.696, 0.415)
Tl (0.593, 0.187, 0.332)
S (0.152, 0.304, 0.585)
S (0.322, 0.644, 0.072)

Properties
Symmetry   C2/m
E_form (uncorrected)   -0.179 eV/atom
Electronic total energy   -0.2958 Ry/atom
D(E_F)   0.66 states/eV/cell
Total moment   0.0 μB/cell
ΔE to the lowest computed polymorph   198.6 kJ/mol of formula units

The following is a DFT calculation (PBE) of a relaxed structure of FeCo2P.

a b c (Å): 3.638 2.622 4.820
angles (deg): 73.26 90.00 90.00
Last column: magnetic moment on the atom in μB.
Element x y z (fractional)
Fe (0.500, 0.250, 0.250)  2.37
Co (0.000, 0.619, 0.515)  0.83
P (0.500, 0.750, 0.750)  -0.04
Co (0.000, 0.881, 0.985)  0.83

Properties
Symmetry   P2/m
Electronic total energy   -0.5278 Ry/atom
D(E_F)   3.31 states/eV/cell
Total moment   3.9 μB/cell

The following is a DFT calculation (PBE) of a relaxed structure of NaYAsO4.

a b c (Å): 6.435 6.467 6.467
angles (deg): 63.10 60.17 60.17
Last column: magnetic moment on the atom in μB.
Element x y z (fractional)
O (0.258, 0.708, 0.776)  0.03
As (0.375, 0.375, 0.875)  0.06
O (0.769, 0.744, 0.244)  0.05
O (0.756, 0.256, 0.756)  0.05
O (0.244, 0.744, 0.244)  0.05
Y (0.000, 0.000, 0.000)  0.03
O (0.742, 0.724, 0.792)  0.03
O (0.231, 0.256, 0.756)  0.05
As (0.625, 0.625, 0.125)  0.06
O (0.742, 0.292, 0.224)  0.03
Na (0.000, 0.000, 0.500)  0.00
Na (0.500, 0.000, 0.500)  0.00
O (0.258, 0.276, 0.208)  0.03
Y (0.000, 0.500, 0.500)  0.03

Properties
Symmetry   Imma
E_form (uncorrected)   -1.991 eV/atom
Electronic total energy   -0.4851 Ry/atom
D(E_F)   5.65 states/eV/cell
Total moment   0.6 μB/cell

The following is a DFT calculation (PBE) of a relaxed structure of K2AgP.

a b c (Å): 4.471 4.471 9.187
angles (deg): 76.22 76.22 60.01
Element x y z (fractional)
K (0.797, 0.797, 0.614)
K (0.953, 0.953, 0.137)
P (0.542, 0.542, 0.375)
Ag (0.208, 0.208, 0.375)

Properties
Symmetry   Cm
Electronic total energy   -0.2066 Ry/atom
D(E_F)   2.20 states/eV/cell
Total moment   0.1 μB/cell

The following is a DFT calculation (PBE) of a relaxed structure of TbNi6As2.

a b c (Å): 3.953 3.953 8.017
angles (deg): 90.00 90.00 90.00
Last column: magnetic moment on the atom in μB.
Element x y z (fractional)
Tb (0.000, 0.000, 0.000)  0.03
As (0.500, 0.500, 0.164)  0.00
Ni (0.000, 0.500, 0.313)  0.14
Ni (0.500, 0.500, 0.500)  0.28
Ni (0.000, 0.500, 0.687)  0.14
As (0.500, 0.500, 0.836)  0.00
Ni (0.500, 0.000, 0.313)  0.14
Ni (0.500, 0.000, 0.687)  0.14
Ni (0.000, 0.000, 0.500)  0.60

Properties
Symmetry   P4/mmm
Electronic total energy   -0.4233 Ry/atom
D(E_F)   14.65 states/eV/cell
Total moment   1.4 μB/cell

The following is a DFT calculation (PBE) of a relaxed structure of TbY2Tm2Sc2.

a b c (Å): 3.412 5.863 11.520
angles (deg): 71.85 90.00 106.92
Element x y z (fractional)
Sc (0.773, 0.546, 0.366)
Tb (0.000, 0.000, 0.500)
Sc (0.227, 0.454, 0.634)
Y (0.670, 0.340, 0.913)
Tm (0.548, 0.096, 0.233)
Tm (0.452, 0.904, 0.767)
Y (0.330, 0.660, 0.087)

Properties
Symmetry   C2/m
Electronic total energy   -0.4032 Ry/atom
D(E_F)   13.11 states/eV/cell
Total moment   0.0 μB/cell

The following is a DFT calculation (PBE) of a relaxed structure of Mg4CdCl.

a b c (Å): 5.921 5.921 5.921
angles (deg): 60.00 60.00 60.00
Element x y z (fractional)
Mg (0.376, 0.376, 0.376)
Mg (0.871, 0.376, 0.376)
Mg (0.376, 0.376, 0.871)
Mg (0.376, 0.871, 0.376)
Cl (0.000, 0.000, 0.000)
Cd (0.750, 0.750, 0.750)

Properties
Symmetry   F-43m
E_form (uncorrected)   -0.028 eV/atom
Electronic total energy   -0.1141 Ry/atom
D(E_F)   2.99 states/eV/cell
Total moment   0.0 μB/cell

The following is a DFT calculation (PBE) of a relaxed structure of Y3HgC.

a b c (Å): 6.735 10.848 3.673
angles (deg): 80.24 105.84 110.68
Element x y z (fractional)
Y (0.465, 0.131, 0.388)
C (0.480, 0.985, 0.969)
Hg (0.218, 0.598, 0.031)
Y (0.543, 0.824, 0.581)
Y (0.088, 0.855, 0.837)
Hg (0.783, 0.357, 0.935)
C (0.835, 0.830, 0.224)
Y (0.742, 0.589, 0.298)
Y (0.224, 0.367, 0.650)
Y (0.873, 0.071, 0.122)

Properties
Symmetry   Cm
Electronic total energy   -0.4485 Ry/atom
D(E_F)   11.86 states/eV/cell
Total moment   0.0 μB/cell
ΔE to the lowest computed polymorph   53.0 kJ/mol of formula units

The following is a DFT calculation (PBE) of a relaxed structure of Er3ScSn2.

a b c (Å): 4.447 4.447 8.237
angles (deg): 90.00 90.00 90.00
Element x y z (fractional)
Sn (0.000, 0.500, 0.274)
Sn (0.500, 0.000, 0.726)
Er (0.500, 0.000, 0.344)
Er (0.000, 0.500, 0.656)
Sc (0.500, 0.500, 0.000)
Er (0.000, 0.000, 0.000)

Properties
Symmetry   P-4m2
Electronic total energy   -0.3862 Ry/atom
D(E_F)   5.42 states/eV/cell
Total moment   0.0 μB/cell

The following is a DFT calculation (PBE) of a relaxed structure of PaFeRe.

a b c (Å): 4.607 5.214 5.034
angles (deg): 90.00 117.23 90.00
Last column: magnetic moment on the atom in μB.
Element x y z (fractional)
Pa (0.739, 0.750, 0.978)  -0.25
Re (0.544, 0.250, 0.587)  0.07
Pa (0.261, 0.250, 0.022)  -0.25
Fe (0.000, 0.500, 0.500)  1.26
Fe (0.000, 0.000, 0.500)  1.26
Re (0.456, 0.750, 0.413)  0.07

Properties
Symmetry   Cmcm
Electronic total energy   -0.7445 Ry/atom
D(E_F)   5.83 states/eV/cell
Total moment   2.1 μB/cell
ΔE to the lowest computed polymorph   41.6 kJ/mol of formula units

The following is a DFT calculation (PBE) of a relaxed structure of RbBa5Tl6.

a b c (Å): 6.092 8.650 9.631
angles (deg): 90.00 71.90 90.00
Element x y z (fractional)
Ba (0.000, 0.500, 0.000)
Tl (0.500, 0.271, 0.000)
Ba (0.667, 0.500, 0.666)
Tl (0.830, 0.254, 0.341)
Ba (0.339, 0.000, 0.323)
Tl (0.170, 0.746, 0.659)
Ba (0.661, 0.000, 0.677)
Rb (0.000, 0.000, 0.000)
Tl (0.170, 0.254, 0.659)
Tl (0.830, 0.746, 0.341)
Ba (0.333, 0.500, 0.334)
Tl (0.500, 0.729, 0.000)

Properties
Symmetry   P2/m
Electronic total energy   -0.1759 Ry/atom
D(E_F)   9.07 states/eV/cell
Total moment   0.0 μB/cell

The following is a DFT calculation (PBE) of a relaxed structure of TbDy.

a b c (Å): 3.624 5.634 6.273
angles (deg): 90.00 90.01 90.00
Element x y z (fractional)
Dy (0.000, 0.250, 0.667)
Dy (0.000, 0.750, 0.333)
Tb (0.500, 0.750, 0.833)
Tb (0.500, 0.250, 0.167)

Properties
Symmetry   Pmma
Electronic total energy   -0.3384 Ry/atom
D(E_F)   6.56 states/eV/cell
Total moment   0.0 μB/cell
ΔE to the lowest computed polymorph   0.0 kJ/mol of formula units

The following is a DFT calculation (PBE) of a relaxed structure of Os2RhAu.

a b c (Å): 2.779 4.755 4.809
angles (deg): 71.10 90.00 90.00
Element x y z (fractional)
Os (0.500, 0.500, 0.000)
Au (0.000, 0.500, 0.500)
Os (0.000, 0.000, 0.000)
Rh (0.500, 0.000, 0.500)

Properties
Symmetry   P2/m
Electronic total energy   -0.5755 Ry/atom
D(E_F)   5.00 states/eV/cell
Total moment   0.0 μB/cell
ΔE to the lowest computed polymorph   87.6 kJ/mol of formula units

The following is a DFT calculation (PBE) of a relaxed structure of Rb2TaPb2S6.

a b c (Å): 6.926 6.926 8.141
angles (deg): 99.08 99.08 118.84
Element x y z (fractional)
S (0.932, 0.641, 0.312)
Pb (0.332, 0.668, 0.500)
S (0.641, 0.932, 0.312)
Pb (0.668, 0.332, 0.500)
Ta (0.000, 0.000, 0.500)
S (0.359, 0.068, 0.688)
Rb (0.824, 0.176, 0.000)
S (0.220, 0.220, 0.315)
S (0.780, 0.780, 0.685)
S (0.068, 0.359, 0.688)
Rb (0.176, 0.824, 0.000)

Properties
Symmetry   C2/m
E_form (uncorrected)   -0.849 eV/atom
Electronic total energy   -0.3695 Ry/atom
D(E_F)   4.45 states/eV/cell
Total moment   0.0 μB/cell

The following is a DFT calculation (PBE) of a relaxed structure of NdHoRuPt.

a b c (Å): 4.946 4.946 4.946
angles (deg): 60.00 60.00 60.00
Element x y z (fractional)
Ru (0.250, 0.250, 0.250)
Ho (0.000, 0.000, 0.000)
Nd (0.500, 0.500, 0.500)
Pt (0.750, 0.750, 0.750)

Properties
Symmetry   F-43m
Electronic total energy   -0.5021 Ry/atom
D(E_F)   2.44 states/eV/cell
Total moment   0.0 μB/cell

The following is a DFT calculation (PBE) of a relaxed structure of UCdFe.

a b c (Å): 3.199 3.199 13.636
angles (deg): 76.49 76.49 60.07
Last column: magnetic moment on the atom in μB.
Element x y z (fractional)
Cd (0.276, 0.276, 0.055)  0.00
U (0.086, 0.086, 0.840)  1.13
U (0.668, 0.668, 0.467)  1.13
Cd (0.477, 0.477, 0.252)  0.00
Fe (0.251, 0.251, 0.592)  -0.63
Fe (0.502, 0.502, 0.716)  -0.63

Properties
Symmetry   C2/m
Electronic total energy   -0.4852 Ry/atom
D(E_F)   9.10 states/eV/cell
Total moment   1.2 μB/cell

The following is a DFT calculation (PBE) of a relaxed structure of KMg2Pt.

a b c (Å): 4.102 3.128 8.650
angles (deg): 69.48 90.00 90.00
Element x y z (fractional)
Mg (0.500, 0.194, 0.308)
Mg (0.000, 0.921, 0.076)
K (0.500, 0.782, 0.714)
Pt (0.000, 0.602, 0.402)

Properties
Symmetry   Pm
Electronic total energy   -0.2063 Ry/atom
D(E_F)   2.11 states/eV/cell
Total moment   0.0 μB/cell
ΔE to the lowest computed polymorph   34.0 kJ/mol of formula units

The following is a DFT calculation (PBE) of a relaxed structure of TePtI2O.

a b c (Å): 5.802 5.802 3.819
angles (deg): 90.00 90.00 90.00
Last column: magnetic moment on the atom in μB.
Element x y z (fractional)
Te (0.500, 0.500, 0.500)  0.00
I (0.500, 0.000, 0.000)  0.00
Pt (0.000, 0.000, 0.000)  0.20
O (0.000, 0.000, 0.500)  0.20
I (0.000, 0.500, 0.000)  0.00

Properties
Symmetry   P4/mmm
E_form (uncorrected)   0.185 eV/atom
Electronic total energy   -0.2398 Ry/atom
D(E_F)   4.99 states/eV/cell
Total moment   0.4 μB/cell
ΔE to the lowest computed polymorph   0.0 kJ/mol of formula units

The following is a DFT calculation (PBE) of a relaxed structure of ZrAlOs2Br.

a b c (Å): 4.584 4.842 4.584
angles (deg): 90.00 90.00 90.00
Element x y z (fractional)
Os (0.500, 0.000, 0.000)
Os (0.000, 0.000, 0.500)
Zr (0.000, 0.500, 0.000)
Al (0.500, 0.500, 0.500)
Br (0.000, 0.000, 0.000)

Properties
Symmetry   P4/mmm
E_form (uncorrected)   1.505 eV/atom
Electronic total energy   -0.4248 Ry/atom
D(E_F)   4.31 states/eV/cell
Total moment   0.0 μB/cell

The following is a DFT calculation (PBE) of a relaxed structure of Sm8TlZn2.

a b c (Å): 5.087 8.048 9.019
angles (deg): 113.27 106.38 90.00
Element x y z (fractional)
Sm (0.045, 0.748, 0.090)
Sm (0.177, 0.264, 0.355)
Zn (0.803, 0.348, 0.606)
Sm (0.955, 0.252, 0.910)
Tl (0.500, 0.000, 0.000)
Sm (0.823, 0.736, 0.645)
Sm (0.681, 0.966, 0.361)
Sm (0.319, 0.034, 0.639)
Sm (0.598, 0.467, 0.195)
Sm (0.402, 0.533, 0.805)
Zn (0.197, 0.652, 0.394)

Properties
Symmetry   C2/m
Electronic total energy   -0.2960 Ry/atom
D(E_F)   10.41 states/eV/cell
Total moment   0.0 μB/cell

The following is a DFT calculation (PBE) of a relaxed structure of Li2Y2AlPd5.

a b c (Å): 3.529 9.697 9.697
angles (deg): 90.00 90.00 90.00
Element x y z (fractional)
Pd (0.500, 0.437, 0.299)
Pd (0.500, 0.500, 0.000)
Li (0.000, 0.623, 0.877)
Pd (0.500, 0.799, 0.937)
Pd (0.500, 0.063, 0.799)
Y (0.000, 0.677, 0.177)
Pd (0.500, 0.937, 0.201)
Y (0.000, 0.323, 0.823)
Y (0.000, 0.823, 0.677)
Li (0.000, 0.877, 0.377)
Pd (0.500, 0.000, 0.500)
Al (0.000, 0.000, 0.000)
Al (0.000, 0.500, 0.500)
Pd (0.500, 0.563, 0.701)
Pd (0.500, 0.299, 0.563)
Li (0.000, 0.123, 0.623)
Pd (0.500, 0.201, 0.063)
Y (0.000, 0.177, 0.323)
Pd (0.500, 0.701, 0.437)
Li (0.000, 0.377, 0.123)

Properties
Symmetry   P4/mbm
Electronic total energy   -0.3945 Ry/atom
D(E_F)   4.01 states/eV/cell
Total moment   0.0 μB/cell

The following is a DFT calculation (PBE) of a relaxed structure of Mg2AlTc.

a b c (Å): 4.531 4.531 4.531
angles (deg): 60.00 60.00 60.00
Element x y z (fractional)
Al (0.500, 0.500, 0.500)
Mg (0.250, 0.250, 0.250)
Mg (0.000, 0.000, 0.000)
Tc (0.750, 0.750, 0.750)

Properties
Symmetry   F-43m
Electronic total energy   -0.3143 Ry/atom
D(E_F)   2.70 states/eV/cell
Total moment   0.0 μB/cell

The following is a DFT calculation (PBE) of a relaxed structure of Y2MnC4.

a b c (Å): 6.625 6.625 6.625
angles (deg): 135.11 110.30 86.82
Last column: magnetic moment on the atom in μB.
Element x y z (fractional)
C (0.909, 0.579, 0.330)  -0.04
Y (0.489, 0.645, 0.844)  -0.03
Y (0.199, 0.855, 0.344)  -0.03
C (0.212, 0.372, 0.840)  0.03
C (0.249, 0.079, 0.170)  -0.04
C (0.531, 0.872, 0.660)  0.03
C (0.469, 0.128, 0.340)  0.03
Mn (0.000, 0.750, 0.750)  0.94
C (0.751, 0.921, 0.830)  -0.04
Y (0.511, 0.355, 0.156)  -0.03
Y (0.801, 0.145, 0.656)  -0.03
C (0.788, 0.628, 0.160)  0.03
Mn (0.000, 0.250, 0.250)  0.94
C (0.091, 0.421, 0.670)  -0.04

Properties
Symmetry   Ibam
Electronic total energy   -0.6382 Ry/atom
D(E_F)   5.41 states/eV/cell
Total moment   1.7 μB/cell